# 1
SbF5: single point on PBEsol structure, meta-GGA SCAN.

Calculated values
**Total moment**: 0.005 μB per cell
**ΔE_f (raw)**: -2.298 eV per atom
**Density**: 3.87 Mg/m³

```
data_SbF5
_symmetry_space_group_name_H-M 'C 1 2/c 1'
_symmetry_Int_Tables_number 15
_cell_length_a 9.914
_cell_length_b 5.322
_cell_length_c 7.671
_cell_angle_alpha 90.00
_cell_angle_beta 113.14
_cell_angle_gamma 90.00
loop_
_symmetry_equiv_pos_as_xyz
'x,y,z'
'-x,-y,-z'
'-x,y,-z+1/2'
'x,-y,z+1/2'
'x+1/2,y+1/2,z'
'-x+1/2,-y+1/2,-z'
'-x+1/2,y+1/2,-z+1/2'
'x+1/2,-y+1/2,z+1/2'
loop_
_atom_site_label
_atom_site_type_symbol
_atom_site_fract_x
_atom_site_fract_y
_atom_site_fract_z
_atom_site_occupancy
Sb1 Sb 0.000 0.000 0.000 1
F1 F 0.000 0.134 0.250 1
F2 F 0.087 0.298 0.966 1
F3 F 0.186 0.141 0.630 1
```

=====

# 2
Zr2ScSbF: single point on PBEsol structure, meta-GGA SCAN.

Calculated values
**Total moment**: 0.000 μB per cell
**ΔE_f (raw)**: 0.564 eV per atom
**Density**: 4.75 Mg/m³

```
data_Zr2ScSbF
_symmetry_space_group_name_H-M 'P 4/m m m'
_symmetry_Int_Tables_number 123
_symmetry_space_group_name_Hall '-P 4 2'
_cell_length_a 5.010
_cell_length_b 5.010
_cell_length_c 5.130
_cell_angle_alpha 90.00
_cell_angle_beta 90.00
_cell_angle_gamma 90.00
loop_
_atom_site_label
_atom_site_type_symbol
_atom_site_fract_x
_atom_site_fract_y
_atom_site_fract_z
_atom_site_occupancy
Zr1 Zr 0.000 0.500 0.000 1
Sc1 Sc 0.000 0.000 0.000 1
Sb1 Sb 0.000 0.000 0.500 1
F1 F 0.500 0.500 0.500 1
```

=====

# 3
Sb2SeF: single point on PBEsol structure, meta-GGA SCAN.

Calculated values
**Total moment**: 0.000 μB per cell
**ΔE_f (raw)**: -0.441 eV per atom
**Density**: 6.66 Mg/m³

```
data_Sb2SeF
_symmetry_space_group_name_H-M 'I -4 2 d'
_symmetry_Int_Tables_number 122
_symmetry_space_group_name_Hall 'I -4 2bw'
_cell_length_a 7.345
_cell_length_b 7.345
_cell_length_c 6.314
_cell_angle_alpha 90.00
_cell_angle_beta 90.00
_cell_angle_gamma 90.00
loop_
_atom_site_label
_atom_site_type_symbol
_atom_site_fract_x
_atom_site_fract_y
_atom_site_fract_z
_atom_site_occupancy
Sb1 Sb 0.224 0.250 0.125 1
Se1 Se 0.000 0.000 0.500 1
F1 F 0.000 0.000 0.000 1
```